# 1
ReIrW2N: optimized geometry, PBE-GGA.

It has space group P4/mmm (No. 123), with a = 4.106 Å, b = 4.106 Å, c = 4.042 Å, α = 90.00°, β = 90.00° and γ = 90.00°. The asymmetric unit holds Re at (0.000, 0.000, 0.000), Ir at (0.500, 0.500, 0.000), W at (0.000, 0.500, 0.500) and N at (0.000, 0.000, 0.500).

As for the final energy: -55.576 eV/cell. The volume comes out at 13.6 A^3/atom. For the spin magnetization, the calculation gives 0.00 Bohr magnetons per cell. The uncorrected formation energy is 0.0 eV/f.u.

=====

# 2
BaMg2Sb2: optimized geometry, PBE-GGA.

It has space group Fddd (No. 70, origin choice 2), with a = 9.678 Å, b = 11.796 Å, c = 11.876 Å, α = 90.00°, β = 90.00° and γ = 90.00°. The asymmetric unit holds Ba at (0.125, 0.125, 0.125), Mg at (0.125, 0.257, 0.625) and Sb at (0.125, 0.125, 0.418).

As for the final energy: -134.841 eV/cell. The volume comes out at 33.9 A^3/atom. For the spin magnetization, the calculation gives 0.00 Bohr magnetons per cell. The uncorrected formation energy is -3.5 eV/f.u.

=====

# 3
Ac2RhPb3: optimized geometry, PBE-GGA.

It has space group Pmm2 (No. 25), with a = 4.458 Å, b = 5.087 Å, c = 8.403 Å, α = 90.00°, β = 90.00° and γ = 90.00°. The asymmetric unit holds Ac at (0.000, 0.000, 0.000), Ac at (0.000, 0.500, 0.451), Rh at (0.500, 0.000, 0.264), Pb at (0.500, 0.000, 0.592), Pb at (0.500, 0.500, 0.148) and Pb at (0.500, 0.500, 0.791).

As for the final energy: -29.244 eV/cell. The volume comes out at 31.8 A^3/atom. For the spin magnetization, the calculation gives 0.00 Bohr magnetons per cell. For the formation energy, the calculation gives -0.43 eV per atom.

=====

# 4
LiSi3Ir3: optimized geometry, PBE-GGA.

It has space group Pm-3n (No. 223), with a = 6.564 Å, b = 6.564 Å, c = 6.564 Å, α = 90.00°, β = 90.00° and γ = 90.00°. The asymmetric unit holds Li at (0.000, 0.000, 0.000), Si at (0.000, 0.250, 0.500) and Ir at (0.000, 0.500, 0.250).

As for the final energy: -92.526 eV/cell. The volume comes out at 20.2 A^3/atom. For the spin magnetization, the calculation gives 0.00 Bohr magnetons per cell. The uncorrected formation energy is -1.5 eV/f.u.

=====

# 5
Ce2In2S5: optimized geometry, PBE-GGA.

It has space group C2/m (No. 12), with a = 14.098 Å, b = 4.055 Å, c = 12.066 Å, α = 90.00°, β = 125.09° and γ = 90.00°. The asymmetric unit holds Ce at (0.169, 0.000, 0.081), In at (0.120, 0.000, 0.600), S at (0.000, 0.500, 0.000), S at (0.165, 0.000, 0.843) and S at (0.243, 0.500, 0.638).

As for the final energy: -98.900 eV/cell. The volume comes out at 31.4 A^3/atom. For the spin magnetization, the calculation gives 4.02 Bohr magnetons per cell. The uncorrected formation energy is -11.5 eV/f.u.

=====

# 6
Mg: optimized geometry, PBE-GGA.

It has space group P6/mmm (No. 191), with a = 3.0969 Å, b = 3.0969 Å, c = 3.0735 Å, α = 90.00°, β = 90.00° and γ = 120.00°. The asymmetric unit holds Mg at (0.0000, 0.0000, 0.0000).

As for the final energy: -1.374 eV/cell. The volume comes out at 25.5 A^3/atom. For the spin magnetization, the calculation gives 0.00 Bohr magnetons per cell. The energy above the lowest structure with this stoichiometry comes out at 0.220 eV per atom. For the formation energy, the calculation gives 0.22 eV per atom.

=====

# 7
NaNpSn2Br8: optimized geometry, PBE-GGA.

It has space group P2/m (No. 10), with a = 6.888 Å, b = 8.795 Å, c = 7.163 Å, α = 90.00°, β = 91.08° and γ = 90.00°. The asymmetric unit holds Na at (0.000, 0.000, 0.000), Np at (0.000, 0.500, 0.000), Sn at (0.500, 0.242, 0.500), Br at (0.239, 0.258, 0.155), Br at (0.243, 0.500, 0.674) and Br at (0.269, 0.000, 0.654).

As for the final energy: -48.445 eV/cell. The volume comes out at 36.2 A^3/atom. For the spin magnetization, the calculation gives 4.00 Bohr magnetons per cell. The uncorrected formation energy is -12.8 eV/f.u.

=====

# 8
ErIrOs: optimized geometry, PBE-GGA.

It has space group Amm2 (No. 38), with a = 8.849 Å, b = 5.317 Å, c = 9.114 Å, α = 90.00°, β = 90.00° and γ = 90.00°. The asymmetric unit holds Er at (0.181, 0.000, 0.000), Er at (0.316, 0.000, 0.333), Ir at (0.000, 0.246, 0.255), Ir at (0.249, 0.000, 0.664), Os at (0.000, 0.000, 0.497), Os at (0.500, 0.000, 0.841) and Os at (0.500, 0.244, 0.082).

As for the final energy: -211.486 eV/cell. The volume comes out at 17.9 A^3/atom. For the spin magnetization, the calculation gives 0.00 Bohr magnetons per cell. The energy above the lowest structure with this stoichiometry comes out at 0.000 eV per atom. For the formation energy, the calculation gives -0.59 eV per atom.

=====

Question: What is the formula in the fourth record?
Answer: LiSi3Ir3